Cr2PRu: relaxed, GGA-PBE.

The structure in POSCAR format:
```
Cr2PRu
1.0
4.099 0.000 0.000
2.050 3.550 0.000
2.050 1.183 3.347
Cr P Ru
2 1 1
Cartesian
0.000 0.000 0.000
2.050 1.183 0.837
4.099 2.367 1.673
6.149 3.550 2.510
```

## Properties
Formation energy from the elements ... -0.13 eV/atom
Magnetization ... 1.038 Bohr magnetons per cell
Calculated total energy ... -34.47 eV per formula unit
DOS at the Fermi energy ... 1.05 states/eV/atom



CaMnPd2: relaxed, GGA-PBE.

The structure in POSCAR format:
```
CaMnPd2
1.0
-0.817 0.186 3.179
3.074 -0.811 0.838
1.723 6.587 0.058
Ca Mn Pd
1 1 2
Cartesian
1.990 2.981 2.037
1.128 -0.313 2.008
1.361 5.201 0.045
0.362 1.386 0.012
```

## Properties
Formation energy from the elements ... -0.38 eV/atom
Magnetization ... 4.350 Bohr magnetons per cell
Calculated total energy ... -23.06 eV per formula unit
DOS at the Fermi energy ... 0.48 states/eV/atom



Ac6Ge2SeBr3: relaxed, GGA-PBE.

The structure in POSCAR format:
```
Ac6Ge2SeBr3
1.0
4.607 0.000 0.000
0.000 9.093 0.303
-2.303 -2.656 9.629
Ac Ge Se Br
6 2 1 3
Cartesian
0.000 6.377 6.823
2.303 4.234 3.521
2.303 0.059 3.109
0.000 2.109 0.186
2.303 4.328 9.746
0.000 2.203 6.411
2.303 4.302 6.663
0.000 2.135 3.269
2.303 0.000 0.000
2.303 4.546 0.151
2.303 -0.263 6.380
0.000 6.700 3.552
```

## Properties
Magnetization ... 0.000 Bohr magnetons per cell
Calculated total energy ... -57.63 eV per formula unit
DOS at the Fermi energy ... 0.55 states/eV/atom



Which of these has the highest calculated total energy?
CaMnPd2



The lowest DOS at the Fermi energy belongs to which entry?
CaMnPd2



The highest DOS at the Fermi energy belongs to which entry?
Cr2PRu



Copy entry 1 word for word.
Cr2PRu: relaxed, GGA-PBE.

The structure in POSCAR format:
```
Cr2PRu
1.0
4.099 0.000 0.000
2.050 3.550 0.000
2.050 1.183 3.347
Cr P Ru
2 1 1
Cartesian
0.000 0.000 0.000
2.050 1.183 0.837
4.099 2.367 1.673
6.149 3.550 2.510
```

## Properties
Formation energy from the elements ... -0.13 eV/atom
Magnetization ... 1.038 Bohr magnetons per cell
Calculated total energy ... -34.47 eV per formula unit
DOS at the Fermi energy ... 1.05 states/eV/atom